First-principles (PBE) data for a geometry-optimized Er2TmMg3Tl2Hg structure, as listed in the Open Quantum Materials Database.

Calculated values
The spin magnetization comes out at 0.004 μB per formula unit. The space group is Amm2 (38).

a = 4.5709 Å, b = 7.4664 Å, c = 7.4664 Å
α = 119.88°, β = 90.00°, γ = 90.00°
Closest atoms and distances in Å follow each position.
Element x y z (fractional)
1 Er 0.0000 0.2113 0.7887  1 Hg 3.16, 4 Tl 3.20, 2 Mg 3.41
2 Er 0.0000 0.7887 0.2113  1 Hg 3.16, 4 Tl 3.20, 2 Mg 3.41
3 Tm 0.0000 0.3660 0.3660  1 Hg 3.15, 4 Tl 3.19, 2 Mg 3.41
4 Mg 0.5000 0.0268 0.0268  2 Hg 2.90, 2 Tl 2.91, 2 Mg 3.09
5 Mg 0.5000 0.5498 0.7884  2 Hg 2.90, 2 Tl 2.91, 2 Mg 3.08-3.09
6 Mg 0.5000 0.7884 0.5498  2 Hg 2.90, 2 Tl 2.91, 2 Mg 3.08-3.09
7 Tl 0.5000 0.1224 0.4549  3 Mg 2.91, 2 Tm 3.19, 4 Er 3.20
8 Tl 0.5000 0.4549 0.1224  3 Mg 2.91, 2 Tm 3.19, 4 Er 3.20
9 Hg 0.0000 0.7873 0.7873  6 Mg 2.90, 1 Tm 3.15, 2 Er 3.16



First-principles (PBE) data for a geometry-optimized Bi2Pd2Pb3 structure, as listed in the Open Quantum Materials Database.

Calculated values
The space group is R3m (160).

a = 8.8941 Å, b = 8.8941 Å, c = 8.8941 Å
α = 33.67°, β = 33.67°, γ = 33.67°
Closest atoms and distances in Å follow each position.
Element x y z (fractional)
1 Bi 0.0000 0.0000 0.0000  6 Pb 3.07-3.31
2 Bi 0.4824 0.4824 0.4824  5 Pb 2.99-3.19
3 Pd 0.2343 0.2343 0.2343  7 Pb 3.14-3.25
4 Pd 0.7386 0.7386 0.7386  5 Pb 3.08-3.26
5 Pb 0.3634 0.3634 0.3634  4 Bi 2.99-3.07, 4 Pd 3.16-3.25
6 Pb 0.6089 0.6089 0.6089  4 Pd 3.15-3.26, 4 Bi 3.18-3.31
7 Pb 0.8611 0.8611 0.8611  4 Pd 3.08-3.14, 3 Bi 3.19



First-principles (PBE) data for a geometry-optimized CuSbPtAu structure, as listed in the Open Quantum Materials Database.

Calculated values
The spin magnetization comes out at 0.001 μB per formula unit. For the relative energy among the computed polymorphs, the calculation gives 0.0 meV per atom. The space group is F-43m (216).

a = 4.6254 Å, b = 4.6254 Å, c = 4.6254 Å
α = 60.00°, β = 60.00°, γ = 60.00°
Closest atoms and distances in Å follow each position.
Element x y z (fractional)
1 Cu 0.0000 0.0000 0.0000  4 Sb 2.83, 4 Au 2.83
2 Sb 0.7500 0.7500 0.7500  4 Cu 2.83, 4 Pt 2.83
3 Pt 0.5000 0.5000 0.5000  4 Sb 2.83, 4 Au 2.83
4 Au 0.2500 0.2500 0.2500  4 Cu 2.83, 4 Pt 2.83



First-principles (PBE) data for a geometry-optimized Pb2Au2O5 structure, as listed in the Open Quantum Materials Database.

Calculated values
For the relative energy among the computed polymorphs, the calculation gives 0.0 meV per atom. The space group is P4/mmm (123).

a = 4.2115 Å, b = 4.2115 Å, c = 7.1775 Å
α = 90.00°, β = 90.00°, γ = 90.00°
Closest atoms and distances in Å follow each position.
Element x y z (fractional)
1 Pb 0.0000 0.0000 0.0000  8 O 2.67
2 Pb 0.0000 0.0000 0.5000  12 O 2.86-2.98
3 Au 0.5000 0.5000 0.2014  5 O 2.12-2.14
4 Au 0.5000 0.5000 0.7986  5 O 2.12-2.14
5 O 0.0000 0.5000 0.2294  2 Au 2.12
6 O 0.0000 0.5000 0.7706  2 Au 2.12
7 O 0.5000 0.0000 0.2294  2 Au 2.12
8 O 0.5000 0.0000 0.7706  2 Au 2.12
9 O 0.5000 0.5000 0.5000  2 Au 2.14



First-principles (PBE) data for a geometry-optimized Tm2Al2IrPd3 structure, as listed in the Open Quantum Materials Database.

Calculated values
The spin magnetization comes out at 0.022 μB per formula unit. The space group is P3m1 (156).

a = 4.3238 Å, b = 4.3238 Å, c = 9.0371 Å
α = 90.00°, β = 90.00°, γ = 120.00°
Closest atoms and distances in Å follow each position.
Element x y z (fractional)
1 Tm 0.0000 0.0000 0.0000  7 Pd 2.87-3.04, 1 Ir 2.95
2 Tm 0.3333 0.6667 0.4895  3 Ir 2.90, 5 Pd 2.95-3.05, 3 Al 3.24
3 Al 0.6667 0.3333 0.2613  3 Ir 2.56, 3 Pd 2.67
4 Al 0.6667 0.3333 0.7479  6 Pd 2.60-2.61
5 Ir 0.0000 0.0000 0.3263  3 Al 2.56
6 Pd 0.0000 0.0000 0.6636  3 Al 2.61, 3 Pd 2.90
7 Pd 0.3333 0.6667 0.1565  3 Al 2.67, 3 Tm 2.87, 3 Ir 2.93, 1 Pd 2.97
8 Pd 0.3333 0.6667 0.8274  3 Al 2.60, 3 Pd 2.90



First-principles (PBE) data for a geometry-optimized Lu2InAu2 structure, as listed in the Open Quantum Materials Database.

Calculated values
The spin magnetization comes out at 0.003 μB per formula unit. The space group is P4/mbm (127).

a = 7.8389 Å, b = 7.8389 Å, c = 3.6495 Å
α = 90.00°, β = 90.00°, γ = 90.00°
Closest atoms and distances in Å follow each position.
Element x y z (fractional)
1 Lu 0.1672 0.3328 0.0000  6 Au 2.89-2.98
2 Lu 0.3328 0.8328 0.0000  6 Au 2.89-2.98
3 Lu 0.6672 0.1672 0.0000  6 Au 2.89-2.98
4 Lu 0.8328 0.6672 0.0000  6 Au 2.89-2.98
5 In 0.0000 0.0000 0.5000  4 Au 3.07
6 In 0.5000 0.5000 0.5000  4 Au 3.07
7 Au 0.1309 0.6309 0.5000  6 Lu 2.89-2.98, 1 Au 2.90, 2 In 3.07
8 Au 0.3691 0.1309 0.5000  6 Lu 2.89-2.98, 1 Au 2.90, 2 In 3.07
9 Au 0.6309 0.8691 0.5000  6 Lu 2.89-2.98, 1 Au 2.90, 2 In 3.07
10 Au 0.8691 0.3691 0.5000  6 Lu 2.89-2.98, 1 Au 2.90, 2 In 3.07



VASP energy, respectively: -2.93 -4.08 -4.32 -4.55 -6.04 -4.48 eV per atom.